Entry 1:
Computed, not measured: crystalline Ho2Al3Cd at its relaxed geometry at the GGA-PBE level of DFT.

As for the total DFT energy (no corrections): -3.869 eV/atom. The formation energy is -319 meV per atom. For the energy relative to the lowest polymorph listed for this composition, the calculation gives 0.105 eV per atom.

The space group is Imm2 (No. 44) and the conventional cell measures 3.803, 4.554 and 15.933 Å, with angles of 90.00, 90.00 and 90.00 degrees. The distinct sites, in fractional coordinates, are Ho at (0.000, 0.000, 0.000), Ho at (0.000, 0.500, 0.281), Al at (0.000, 0.000, 0.441), Al at (0.000, 0.500, 0.683), Al at (0.000, 0.500, 0.841) and Cd at (0.000, 0.000, 0.604).


Entry 2:
Computed, not measured: crystalline CrReW2 at its relaxed geometry at the GGA-PBE level of DFT.

As for the total DFT energy (no corrections): -11.626 eV/atom. The formation energy is 368 meV per atom. For the energy relative to the lowest polymorph listed for this composition, the calculation gives 0.341 eV per atom.

The space group is R-3m (No. 166, hexagonal axes) and the conventional cell measures 2.9096, 2.9096 and 24.8584 Å, with angles of 90.00, 90.00 and 120.00 degrees. The distinct sites, in fractional coordinates, are Cr at (0.0000, 0.0000, 0.0000), Re at (0.0000, 0.0000, 0.5000) and W at (0.0000, 0.0000, 0.2539).


Entry 3:
Computed, not measured: crystalline AcSm4Tm10 at its relaxed geometry at the GGA-PBE level of DFT.

As for the total DFT energy (no corrections): -3.974 eV/atom. The formation energy is 539 meV per atom.

The space group is I4/m (No. 87) and the conventional cell measures 12.863, 12.863 and 6.502 Å, with angles of 90.00, 90.00 and 90.00 degrees. The distinct sites, in fractional coordinates, are Ac at (0.000, 0.000, 0.000), Sm at (0.068, 0.175, 0.500), Tm at (0.000, 0.500, 0.250) and Tm at (0.131, 0.707, 0.251).


Entry 4:
Computed, not measured: crystalline LiNiRu2N at its relaxed geometry at the GGA-PBE level of DFT.

As for the total DFT energy (no corrections): -6.783 eV/atom. For the energy relative to the elements, uncorrected, the calculation gives 0.131 eV per atom.

The space group is P4/mmm (No. 123) and the conventional cell measures 3.998, 3.998 and 3.760 Å, with angles of 90.00, 90.00 and 90.00 degrees. The distinct sites, in fractional coordinates, are Li at (0.000, 0.000, 0.000), Ni at (0.500, 0.500, 0.000), Ru at (0.000, 0.500, 0.500) and N at (0.500, 0.500, 0.500).


Entry 5:
Computed, not measured: crystalline Ba4Ce3PuN8 at its relaxed geometry at the GGA-PBE level of DFT.

As for the total DFT energy (no corrections): -7.625 eV/atom. For the energy relative to the elements, uncorrected, the calculation gives -0.973 eV per atom.

The space group is R-3m (No. 166, hexagonal axes) and the conventional cell measures 7.3514, 7.3514 and 19.0871 Å, with angles of 90.00, 90.00 and 120.00 degrees. The distinct sites, in fractional coordinates, are Ba at (0.0000, 0.0000, 0.0000), Ba at (0.0000, 0.5000, 0.0000), Ce at (0.0000, 0.5000, 0.5000), Pu at (0.0000, 0.0000, 0.5000), N at (0.0000, 0.0000, 0.2270) and N at (0.0176, 0.5088, 0.2271).


Entry 6:
Computed, not measured: crystalline Ba3Nb2CdO9 at its relaxed geometry at the GGA-PBE level of DFT.

As for the total DFT energy (no corrections): -7.370 eV/atom. For the energy relative to the elements, uncorrected, the calculation gives -2.607 eV per atom.

The space group is P-3m1 (No. 164) and the conventional cell measures 5.9744, 5.9744 and 7.3815 Å, with angles of 90.00, 90.00 and 120.00 degrees. The distinct sites, in fractional coordinates, are Ba at (0.0000, 0.0000, 0.0000), Ba at (0.3333, 0.6667, 0.6702), Nb at (0.3333, 0.6667, 0.1706), Cd at (0.0000, 0.0000, 0.5000), O at (0.0000, 0.5000, 0.0000) and O at (0.1762, 0.3524, 0.3142).


Entry 7:
Computed, not measured: crystalline RbZnO2F at its relaxed geometry at the GGA-PBE level of DFT.

As for the total DFT energy (no corrections): -2.430 eV/atom. For the energy relative to the elements, uncorrected, the calculation gives 0.375 eV per atom.

The space group is P4/mmm (No. 123) and the conventional cell measures 4.372, 4.372 and 4.887 Å, with angles of 90.00, 90.00 and 90.00 degrees. The distinct sites, in fractional coordinates, are Rb at (0.000, 0.000, 0.000), Zn at (0.500, 0.500, 0.500), O at (0.000, 0.500, 0.000) and F at (0.000, 0.000, 0.500).


Entry 8:
Computed, not measured: crystalline BaNdAgO3 at its relaxed geometry at the GGA-PBE level of DFT.

As for the total DFT energy (no corrections): -6.331 eV/atom. For the energy relative to the elements, uncorrected, the calculation gives -2.262 eV per atom.

The space group is P2_1/m (No. 11) and the conventional cell measures 7.068, 3.788 and 9.491 Å, with angles of 90.00, 104.91 and 90.00 degrees. The distinct sites, in fractional coordinates, are Ba at (0.040, 0.250, 0.310), Nd at (0.464, 0.250, 0.661), Ag at (0.306, 0.250, 0.996), O at (0.206, 0.250, 0.770), O at (0.304, 0.750, 0.498) and O at (0.359, 0.250, 0.221).